Ho6Ni2Pd (PBE, relaxed); total magnetization = 0.0 μB/cell; D(E_F) = 9.15 states/eV/f.u.; total energy = -47.983 eV per formula unit; energy above the most stable polymorph in this dataset = 0.000 eV per atom
1.0
-3.0533 -2.5807 -7.1710
-2.4629 -4.9187 6.0949
-2.6771 7.5962 1.5932
Ni Ho Pd
4 12 2
Cartesian
-3.3726 -3.4296 0.3811
-3.7713 3.3008 -3.6709
-1.9591 1.7147 -1.9069
-4.8207 3.5264 0.1360
-5.6754 1.2450 1.8006
-5.1693 -0.5207 4.8426
-3.3884 -1.4484 2.1788
-5.8439 -1.5091 -0.3347
-3.2462 -2.8623 -4.2201
-4.8049 1.5451 -1.6617
-3.1590 4.6660 2.2915
-3.0240 0.6174 -4.3255
-2.5179 -1.1482 -1.2835
-2.3494 1.6059 0.8518
-5.0343 -4.5693 -1.7744
-4.9471 2.9590 4.7372
0.0000 0.0000 0.0000
-2.5700 1.3387 3.8441

=====

Ce2DyMg (PBE, relaxed); total magnetization = 1.4 μB/cell; D(E_F) = 9.91 states/eV/f.u.; total energy = -17.065 eV per formula unit; energy above the most stable polymorph in this dataset = 0.155 eV per atom
1.0
3.2692 0.0000 0.0000
1.6346 2.8312 0.0000
1.6346 0.9437 12.5054
Mg Dy Ce
1 1 2
Cartesian
0.0000 0.0000 0.0000
3.2692 1.8875 6.2527
4.9037 2.8312 3.2994
1.6346 0.9437 9.2060

=====

Q: Which of these has the lowest D(E_F)?
A: Ho6Ni2Pd

=====

Copy entry 2 word for word.
Ce2DyMg (PBE, relaxed); total magnetization = 1.4 μB/cell; D(E_F) = 9.91 states/eV/f.u.; total energy = -17.065 eV per formula unit; energy above the most stable polymorph in this dataset = 0.155 eV per atom
1.0
3.2692 0.0000 0.0000
1.6346 2.8312 0.0000
1.6346 0.9437 12.5054
Mg Dy Ce
1 1 2
Cartesian
0.0000 0.0000 0.0000
3.2692 1.8875 6.2527
4.9037 2.8312 3.2994
1.6346 0.9437 9.2060

=====

Q: What is the total energy in the second record?
A: -17.065 eV per formula unit